(1)
The following is a GGA-PBE calculation of crystalline Te2PdC at its relaxed geometry, from Alexandria via LeMat-Bulk.

Output
E ... -17.49 eV/f.u.
Density of states at the Fermi level ... 0.591 states/eV per atom
Symmetry ... No. 166

a = 4.3344 Å, b = 4.3344 Å, c = 19.5585 Å
α = 90.00°, β = 90.00°, γ = 120.00°
Last column: nearest neighbours and their distance in Å.
Element x y z (fractional)
Te (0.0000, 0.0000, 0.0999)  1 C 1.95
Te (0.0000, 0.0000, 0.9001)  1 C 1.95
Te (0.3333, 0.6667, 0.5668)  1 C 1.95
Te (0.3333, 0.6667, 0.7665)  1 C 1.95
Te (0.6667, 0.3333, 0.2335)  1 C 1.95
Te (0.6667, 0.3333, 0.4332)  1 C 1.95
Pd (0.0000, 0.0000, 0.5000)  6 Te 2.82
Pd (0.3333, 0.6667, 0.1667)  6 Te 2.82
Pd (0.6667, 0.3333, 0.8333)  6 Te 2.82
C (0.0000, 0.0000, 0.0000)  2 Te 1.95
C (0.3333, 0.6667, 0.6667)  2 Te 1.95
C (0.6667, 0.3333, 0.3333)  2 Te 1.95

(2)
The following is a GGA-PBE calculation of crystalline FeCuSiTe2 at its relaxed geometry, from Alexandria via LeMat-Bulk.

Output
E ... -21.37 eV/f.u.
Density of states at the Fermi level ... 0.853 states/eV per atom
Symmetry ... No. 123

a = 5.1268 Å, b = 5.1268 Å, c = 4.2372 Å
α = 90.00°, β = 90.00°, γ = 90.00°
Last column: nearest neighbours and their distance in Å.
Element x y z (fractional)
Fe (0.0000, 0.0000, 0.0000)  2 Si 2.12
Cu (0.5000, 0.5000, 0.5000)  8 Te 3.33, 4 Si 3.63
Si (0.0000, 0.0000, 0.5000)  2 Fe 2.12
Te (0.0000, 0.5000, 0.0000)  2 Fe 2.56
Te (0.5000, 0.0000, 0.0000)  2 Fe 2.56

(3)
The following is a GGA-PBE calculation of crystalline CaNiRhBr2 at its relaxed geometry, from Alexandria via LeMat-Bulk.

Output
Energy above the most stable polymorph in this dataset ... 0 meV per atom
Density of states at the Fermi level ... 0.843 states/eV per atom
Symmetry ... No. 123

a = 5.0241 Å, b = 5.0241 Å, c = 5.3579 Å
α = 90.00°, β = 90.00°, γ = 90.00°
Last column: nearest neighbours and their distance in Å.
Element x y z (fractional)
Ca (0.0000, 0.0000, 0.0000)  2 Rh 2.68
Ni (0.5000, 0.5000, 0.0000)  4 Ca 3.55, 8 Br 3.67
Rh (0.0000, 0.0000, 0.5000)  4 Br 2.51, 2 Ca 2.68
Br (0.0000, 0.5000, 0.5000)  2 Rh 2.51
Br (0.5000, 0.0000, 0.5000)  2 Rh 2.51

(4)
The following is a GGA-PBE calculation of crystalline Ag4SbSe at its relaxed geometry, from Alexandria via LeMat-Bulk.

Output
Energy above the most stable polymorph in this dataset ... 0 meV per atom
Density of states at the Fermi level ... 0.312 states/eV per atom
Symmetry ... No. 123

a = 4.4873 Å, b = 4.4873 Å, c = 6.8804 Å
α = 90.00°, β = 90.00°, γ = 90.00°
Last column: nearest neighbours and their distance in Å.
Element x y z (fractional)
Ag (0.0000, 0.5000, 0.2462)  2 Se 2.81, 2 Sb 2.84
Ag (0.0000, 0.5000, 0.7538)  2 Se 2.81, 2 Sb 2.84
Ag (0.5000, 0.0000, 0.2462)  2 Se 2.81, 2 Sb 2.84
Ag (0.5000, 0.0000, 0.7538)  2 Se 2.81, 2 Sb 2.84
Sb (0.0000, 0.0000, 0.5000)  8 Ag 2.84
Se (0.5000, 0.5000, 0.0000)  8 Ag 2.81

(5)
The following is a GGA-PBE calculation of crystalline FeSiHgBiH at its relaxed geometry, from Alexandria via LeMat-Bulk.

Output
Energy above the most stable polymorph in this dataset ... 146 meV per atom
Density of states at the Fermi level ... 0.481 states/eV per atom
Symmetry ... No. 1

a = 3.1568 Å, b = 4.9149 Å, c = 6.4511 Å
α = 79.31°, β = 89.95°, γ = 71.29°
Last column: nearest neighbours and their distance in Å.
Element x y z (fractional)
Fe (0.0000, 0.0000, 0.0000)  2 Si 2.31
Si (0.4265, 0.1481, 0.7400)  1 H 1.54
Hg (0.5148, 0.9650, 0.3902)  1 Si 2.56
Bi (0.7294, 0.5412, 0.0450)  3 Fe 2.59-2.63
H (0.2668, 0.4700, 0.6248)  1 Si 1.54

(6)
The following is a GGA-PBE calculation of crystalline Pr4Au2I5 at its relaxed geometry, from Alexandria via LeMat-Bulk.

Output
Energy above the most stable polymorph in this dataset ... 293 meV per atom
Density of states at the Fermi level ... 0.525 states/eV per atom
Symmetry ... No. 71

a = 12.8027 Å, b = 12.8027 Å, c = 12.8027 Å
α = 160.86°, β = 139.04°, γ = 45.59°
Last column: nearest neighbours and their distance in Å.
Element x y z (fractional)
Pr (0.1290, 0.1290, 0.0000)  1 Au 2.77
Pr (0.2098, 0.5000, 0.7098)  4 I 3.22-3.36
Pr (0.7902, 0.5000, 0.2902)  4 I 3.22-3.36
Pr (0.8710, 0.8710, 0.0000)  1 Au 2.77
Au (0.2462, 0.2462, 0.0000)  1 Pr 2.77
Au (0.7538, 0.7538, 0.0000)  1 Pr 2.77
I (0.1345, 0.3656, 0.7689)  3 Pr 3.22, 1 Au 3.50
I (0.4033, 0.6344, 0.7689)  3 Pr 3.22, 1 Au 3.50
I (0.5000, 0.0000, 0.5000)  4 Pr 3.36
I (0.5967, 0.3656, 0.2311)  3 Pr 3.22, 1 Au 3.50
I (0.8655, 0.6344, 0.2311)  3 Pr 3.22, 1 Au 3.50

(7)
The following is a GGA-PBE calculation of crystalline Cs3KI4 at its relaxed geometry, from Alexandria via LeMat-Bulk.

Output
E ... -22.06 eV/f.u.
Density of states at the Fermi level ... 0.000 states/eV per atom
Symmetry ... No. 65

a = 10.8838 Å, b = 15.3460 Å, c = 5.4294 Å
α = 90.00°, β = 90.00°, γ = 90.00°
Last column: nearest neighbours and their distance in Å.
Element x y z (fractional)
Cs (0.0000, 0.0000, 0.0000)  6 I 3.96-3.98
Cs (0.2500, 0.2500, 0.5000)  6 I 3.84-3.85
Cs (0.2500, 0.7500, 0.5000)  6 I 3.84-3.85
Cs (0.5000, 0.5000, 0.0000)  6 I 3.96-3.98
Cs (0.7500, 0.2500, 0.5000)  6 I 3.84-3.85
Cs (0.7500, 0.7500, 0.5000)  6 I 3.84-3.85
K (0.0000, 0.5000, 0.0000)  6 I 3.70-3.73
K (0.5000, 0.0000, 0.0000)  6 I 3.70-3.73
I (0.0000, 0.2591, 0.0000)  1 K 3.70, 5 Cs 3.85-3.98
I (0.0000, 0.7409, 0.0000)  1 K 3.70, 5 Cs 3.85-3.98
I (0.2352, 0.5000, 0.5000)  2 K 3.73, 4 Cs 3.84-3.96
I (0.2648, 0.0000, 0.5000)  2 K 3.73, 4 Cs 3.84-3.96
I (0.5000, 0.2409, 0.0000)  1 K 3.70, 5 Cs 3.85-3.98
I (0.5000, 0.7591, 0.0000)  1 K 3.70, 5 Cs 3.85-3.98
I (0.7352, 0.0000, 0.5000)  2 K 3.73, 4 Cs 3.84-3.96
I (0.7648, 0.5000, 0.5000)  2 K 3.73, 4 Cs 3.84-3.96

(8)
The following is a GGA-PBE calculation of crystalline BeGaSn2B at its relaxed geometry, from Alexandria via LeMat-Bulk.

Output
Energy above the most stable polymorph in this dataset ... 0 meV per atom
Density of states at the Fermi level ... 0.545 states/eV per atom
Formation energy from the elements ... 1115 meV/atom
Symmetry ... No. 123

a = 5.5311 Å, b = 5.5311 Å, c = 3.7359 Å
α = 90.00°, β = 90.00°, γ = 90.00°
Last column: nearest neighbours and their distance in Å.
Element x y z (fractional)
Be (0.0000, 0.0000, 0.0000)  8 Sn 3.34, 2 Be 3.74
Ga (0.5000, 0.5000, 0.5000)  2 B 1.87
Sn (0.0000, 0.5000, 0.5000)  2 Ga 2.77
Sn (0.5000, 0.0000, 0.5000)  2 Ga 2.77
B (0.5000, 0.5000, 0.0000)  2 Ga 1.87

(9)
The following is a GGA-PBE calculation of crystalline Ta4HgPb at its relaxed geometry, from Alexandria via LeMat-Bulk.

Output
Density of states at the Fermi level ... 0.865 states/eV per atom
Formation energy from the elements ... 577 meV/atom
Symmetry ... No. 216

a = 5.6108 Å, b = 5.6108 Å, c = 5.6108 Å
α = 60.00°, β = 60.00°, γ = 60.00°
Last column: nearest neighbours and their distance in Å.
Element x y z (fractional)
Ta (0.1248, 0.1248, 0.1248)  6 Ta 2.80-2.81
Ta (0.1248, 0.1248, 0.6255)  6 Ta 2.80-2.81
Ta (0.1248, 0.6255, 0.1248)  6 Ta 2.80-2.81
Ta (0.6255, 0.1248, 0.1248)  6 Ta 2.80-2.81
Hg (0.7500, 0.7500, 0.7500)  12 Ta 3.29, 4 Pb 3.44
Pb (0.5000, 0.5000, 0.5000)  12 Ta 3.29, 4 Hg 3.44

(10)
The following is a GGA-PBE calculation of crystalline CrPIrCl2 at its relaxed geometry, from Alexandria via LeMat-Bulk.

Output
Energy above the most stable polymorph in this dataset ... 0 meV per atom
Density of states at the Fermi level ... 0.663 states/eV per atom
Symmetry ... No. 123

a = 5.0703 Å, b = 5.0703 Å, c = 4.4221 Å
α = 90.00°, β = 90.00°, γ = 90.00°
Last column: nearest neighbours and their distance in Å.
Element x y z (fractional)
Cr (0.0000, 0.0000, 0.0000)  8 Cl 3.36, 4 P 3.59
P (0.5000, 0.5000, 0.0000)  2 Ir 2.21
Ir (0.5000, 0.5000, 0.5000)  2 P 2.21
Cl (0.0000, 0.5000, 0.5000)  2 Ir 2.54
Cl (0.5000, 0.0000, 0.5000)  2 Ir 2.54

(11)
The following is a GGA-PBE calculation of crystalline La3Pr2Si4 at its relaxed geometry, from Alexandria via LeMat-Bulk.

Output
E ... -51.97 eV/f.u.
Density of states at the Fermi level ... 1.096 states/eV per atom
Symmetry ... No. 14

a = 7.9634 Å, b = 8.0241 Å, c = 7.9982 Å
α = 90.00°, β = 104.16°, γ = 90.00°
Last column: nearest neighbours and their distance in Å.
Element x y z (fractional)
La (0.0000, 0.0000, 0.0000)  6 Si 3.19-3.24, 2 La 3.56
La (0.0000, 0.5000, 0.5000)  6 Si 3.19-3.24, 2 La 3.56
La (0.2624, 0.1831, 0.7439)  6 Si 3.00-3.17
La (0.2624, 0.3169, 0.2439)  6 Si 3.00-3.17
La (0.7376, 0.6831, 0.7561)  6 Si 3.00-3.17
La (0.7376, 0.8169, 0.2561)  6 Si 3.00-3.17
Pr (0.2889, 0.6893, 0.8932)  6 Si 3.18-3.37
Pr (0.2889, 0.8107, 0.3932)  6 Si 3.18-3.37
Pr (0.7111, 0.1893, 0.6068)  6 Si 3.18-3.37
Pr (0.7111, 0.3107, 0.1068)  6 Si 3.18-3.37
Si (0.0066, 0.6131, 0.1122)  1 Si 2.54
Si (0.0066, 0.8869, 0.6122)  1 Si 2.54
Si (0.4132, 0.0214, 0.1034)  1 Si 2.43
Si (0.4132, 0.4786, 0.6034)  1 Si 2.43
Si (0.5868, 0.5214, 0.3966)  1 Si 2.43
Si (0.5868, 0.9786, 0.8966)  1 Si 2.43
Si (0.9934, 0.1131, 0.3878)  1 Si 2.54
Si (0.9934, 0.3869, 0.8878)  1 Si 2.54

(12)
The following is a GGA-PBE calculation of crystalline SbP3Au at its relaxed geometry, from Alexandria via LeMat-Bulk.

Output
Energy above the most stable polymorph in this dataset ... 0 meV per atom
Density of states at the Fermi level ... 1.101 states/eV per atom
Symmetry ... No. 221

a = 4.8320 Å, b = 4.8320 Å, c = 4.8320 Å
α = 90.00°, β = 90.00°, γ = 90.00°
Last column: nearest neighbours and their distance in Å.
Element x y z (fractional)
Sb (0.0000, 0.0000, 0.0000)  12 P 3.42
P (0.0000, 0.5000, 0.5000)  2 Au 2.42
P (0.5000, 0.0000, 0.5000)  2 Au 2.42
P (0.5000, 0.5000, 0.0000)  2 Au 2.42
Au (0.5000, 0.5000, 0.5000)  6 P 2.42

> density of states at the Fermi level of number 11 (La3Pr2Si4)?

1.096 states/eV per atom

> Which of these has the lowest density of states at the Fermi level?

Cs3KI4

> The highest density of states at the Fermi level belongs to which entry?

SbP3Au